[1]
First-principles (GGA-PBE) data for a geometry-optimized TlNiOs2 structure, as listed in Alexandria.

ΔE to the lowest computed polymorph (meV per atom): 183
Raw total energy (eV/atom): -6.999

Cell lengths 8.902, 2.876, 4.991 Å; angles 90.00, 98.67, 90.00 degrees
Space group Cm (No. 8)
Inequivalent atoms, fractional coordinates:
Tl1 0.000 0.000 0.000 [2 per cell]
Ni1 0.246 0.000 0.760 [2 per cell]
Os1 0.002 0.500 0.505 [2 per cell]
Os2 0.260 0.500 0.334 [2 per cell]

***

[2]
First-principles (GGA-PBE) data for a geometry-optimized Hg2PtSe structure, as listed in Alexandria.

ΔE to the lowest computed polymorph (meV per atom): 65
Raw total energy (eV/atom): -2.517
Formation energy (no corrections) (kJ per mole of atoms): 1.5

Cell lengths 3.379, 3.379, 9.822 Å; angles 90.00, 90.00, 90.00 degrees
Space group P4mm (No. 99)
Inequivalent atoms, fractional coordinates:
Hg1 0.000 0.000 0.000 [1 per cell]
Hg2 0.500 0.500 0.268 [1 per cell]
Pt1 0.000 0.000 0.705 [1 per cell]
Se1 0.500 0.500 0.622 [1 per cell]

***

[3]
First-principles (GGA-PBE) data for a geometry-optimized MgIrPdC2 structure, as listed in Alexandria.

Raw total energy (eV/atom): -5.842

Cell lengths 3.871, 3.871, 5.393 Å; angles 90.00, 90.00, 90.00 degrees
Space group P4/mmm (No. 123)
Inequivalent atoms, fractional coordinates:
Mg1 0.000 0.000 0.000 [1 per cell]
Ir1 0.500 0.500 0.500 [1 per cell]
Pd1 0.500 0.500 0.000 [1 per cell]
C1 0.000 0.500 0.500 [2 per cell]

***

[4]
First-principles (GGA-PBE) data for a geometry-optimized PmScCuHg structure, as listed in Alexandria.

Raw total energy (eV/atom): -4.137

Cell lengths 7.141, 7.141, 7.141 Å; angles 90.00, 90.00, 90.00 degrees
Space group F-43m (No. 216)
Inequivalent atoms, fractional coordinates:
Pm1 0.000 0.000 0.000 [4 per cell]
Sc1 0.000 0.000 0.500 [4 per cell]
Cu1 0.250 0.250 0.250 [4 per cell]
Hg1 0.250 0.250 0.750 [4 per cell]

***

[5]
First-principles (GGA-PBE) data for a geometry-optimized LaSmDy2S6 structure, as listed in Alexandria.

Raw total energy (eV/atom): -6.437
Formation energy (no corrections) (kJ per mole of atoms): -200.2

Cell lengths 7.0721, 7.0721, 18.5904 Å; angles 90.00, 90.00, 120.00 degrees
Space group R3 (No. 146, hexagonal axes)
Inequivalent atoms, fractional coordinates:
La1 0.0000 0.0000 0.0000 [3 per cell]
Sm1 0.0000 0.0000 0.5050 [3 per cell]
Dy1 0.0000 0.0000 0.2077 [3 per cell]
Dy2 0.0000 0.0000 0.7102 [3 per cell]
S1 0.0405 0.3599 0.7775 [9 per cell]
S2 0.0552 0.6951 0.2775 [9 per cell]

***

Number 1: ρ 16.9 g/cm3, N(E_F) 0.76 states/eV/atom, magnetic moment 0.0 Bohr magnetons per cell. Number 2: ρ 10.0 g/cm3, N(E_F) 0.26 states/eV/atom, magnetic moment 0.0 Bohr magnetons per cell. Number 3: ρ 7.1 g/cm3, N(E_F) 0.43 states/eV/atom, magnetic moment 0.3 Bohr magnetons per cell. Number 4: ρ 8.3 g/cm3, N(E_F) 0.95 states/eV/atom, magnetic moment 0.0 Bohr magnetons per cell. Number 5: ρ 5.0 g/cm3, N(E_F) 0.00 states/eV/atom, magnetic moment 0.0 Bohr magnetons per cell.